# Al4GaCo (GGA-PBE, optimized geometry)
data_Al4GaCo
_chemical_formula_sum 'Al16 Ga4 Co4'
_cell_length_a 7.645
_cell_length_b 10.507
_cell_length_c 5.064
_cell_angle_alpha 90.00
_cell_angle_beta 111.66
_cell_angle_gamma 90.00
_symmetry_space_group_name_H-M 'C 1 2/c 1'
_symmetry_Int_Tables_number 15
_symmetry_space_group_name_Hall '-C 2yc'
loop_
_atom_site_label
_atom_site_type_symbol
_atom_site_fract_x
_atom_site_fract_y
_atom_site_fract_z
Al1 Al 0.120 0.176 0.072
Al2 Al 0.231 0.409 0.358
Ga1 Ga 0.000 0.387 0.750
Co1 Co 0.000 0.000 0.250
# Energy relative to the elements in eV/f.u.: -1.08
# Total magnetization in μB/cell: 0.0
# Fermi-level density of states in states/eV/cell: 8.9